[1]
{"formula": "K2SrZn2", "functional": "PBE", "state": "relaxed", "m_tot_mub_per_cell": 0.00, "ef_kj_per_mol_atoms": 7.4, "e_above_lowest_polymorph_mev_per_atom": 0, "final_energy_ev_per_cell": -12.08, "cell": [[8.322, 0.000, 0.000], [0.000, 8.322, 0.000], [0.000, 0.000, 5.751]], "species": ["K", "K", "K", "K", "Sr", "Sr", "Zn", "Zn", "Zn", "Zn"], "fractional_positions": [[0.171, 0.329, 0.000], [0.329, 0.829, 0.000], [0.671, 0.171, 0.000], [0.829, 0.671, 0.000], [0.000, 0.000, 0.500], [0.500, 0.500, 0.500], [0.110, 0.610, 0.500], [0.390, 0.110, 0.500], [0.610, 0.890, 0.500], [0.890, 0.390, 0.500]]}

***

[2]
{"formula": "MoP3Se", "functional": "PBE", "state": "relaxed", "m_tot_mub_per_cell": 2.54, "raw_formation_energy_ev_per_atom": 1.42, "e_above_lowest_polymorph_mev_per_atom": 866, "final_energy_ev_per_cell": -23.44, "cell": [[4.636, 0.000, 0.000], [0.000, 4.636, 0.000], [0.000, 0.000, 4.636]], "species": ["Mo", "P", "P", "P", "Se"], "fractional_positions": [[0.000, 0.000, 0.000], [0.000, 0.500, 0.500], [0.500, 0.000, 0.500], [0.500, 0.500, 0.000], [0.500, 0.500, 0.500]]}

***

[3]
{"formula": "AcTh2Bi", "functional": "PBE", "state": "relaxed", "m_tot_mub_per_cell": 0.00, "ef_kj_per_mol_atoms": 3.5, "e_above_lowest_polymorph_mev_per_atom": 235, "final_energy_ev_per_cell": -22.68, "cell": [[0.000, 4.066, 4.066], [4.066, 0.000, 4.066], [4.066, 4.066, 0.000]], "species": ["Ac", "Th", "Th", "Bi"], "fractional_positions": [[0.000, 0.000, 0.000], [0.250, 0.250, 0.250], [0.750, 0.750, 0.750], [0.500, 0.500, 0.500]]}